Entry from Alexandria via LeMat-Bulk: a relaxed structure of NaFeN2F (PBE with a Hubbard U).

Output
Electronic total energy   -0.186 Ha/atom
Energy above the most stable polymorph in this dataset   0.0 meV/atom
Calculated density   3.382 g/cm³
SG   P4/mmm
DOS(E_F)   2.876 states/eV per cell

Lattice parameters (Å, degrees): 3.729 3.729 4.444 90.00 90.00 90.00
Each line ends with the local moment (μB).
Fractional coordinates of all 5 atoms:
Na: 0.500 0.500 0.500  0.01
N: 0.000 0.500 0.000  -0.45
N: 0.500 0.000 0.000  -0.45
Fe: 0.000 0.000 0.000  3.65
F: 0.000 0.000 0.500  0.06